# 1
# MnCO3

A relaxed structure of MnCO3 (GGA-PBEsol, Alexandria via LeMat-Bulk).

extended XYZ file:
```
10
Lattice="3.786 0.000 0.000 0.000 4.776 0.000 -1.657 0.000 5.795" Properties=species:S:1:pos:R:3 pbc="T T T"
Mn -0.414 0.877 1.449
Mn -1.243 3.899 4.346
C 0.650 1.511 4.346
C 1.479 3.265 1.449
O -0.137 0.856 3.558
O 0.692 3.920 0.661
O 1.479 1.969 1.449
O 0.650 2.807 4.346
O 1.437 0.856 5.134
O 2.265 3.920 2.237
```

Summary:
Volume, Å³/cell: 105
Energy relative to the elements, uncorrected, eV per formula unit: -6.7
E, eV per atom: -8.3780

# 2
# MnCO3

A relaxed structure of MnCO3 (GGA-PBEsol, Alexandria via LeMat-Bulk).

extended XYZ file:
```
10
Lattice="2.381 1.374 5.139 -2.381 1.374 5.139 0.000 -2.749 5.139" Properties=species:S:1:pos:R:3 pbc="T T T"
Mn 0.000 0.000 0.000
Mn 0.000 0.000 7.708
C 0.000 0.000 3.854
C 0.000 0.000 11.562
O -1.733 -0.253 6.423
O -0.648 -1.627 8.993
O 1.085 -1.374 6.423
O -1.085 1.374 8.993
O 0.648 1.627 6.423
O 1.733 0.253 8.993
```

Summary:
Volume, Å³/cell: 101
Energy relative to the elements, uncorrected, eV per formula unit: -6.9
E, eV per atom: -8.4073

# 3
# MnCO3

A relaxed structure of MnCO3 (GGA-PBEsol, Alexandria via LeMat-Bulk).

extended XYZ file:
```
10
Lattice="4.220 -3.702 0.000 4.220 3.702 0.000 -0.294 0.000 4.675" Properties=species:S:1:pos:R:3 pbc="T T T"
Mn 0.000 0.000 0.000
Mn -0.147 0.000 2.337
C 3.999 1.984 3.506
C 4.146 -1.984 1.169
O 1.003 0.653 3.583
O 1.150 -0.653 1.246
O 3.999 0.838 3.506
O 4.146 -0.838 1.169
O 6.995 0.653 3.429
O 7.142 -0.653 1.092
```

Summary:
Volume, Å³/cell: 146
Energy relative to the elements, uncorrected, eV per formula unit: -3.4
E, eV per atom: -7.7072

# 4
# Mn3PC

A relaxed structure of Mn3PC (GGA-PBEsol, Alexandria via LeMat-Bulk).

extended XYZ file:
```
5
Lattice="3.691 0.000 0.000 0.000 3.691 0.000 0.000 0.000 3.691" Properties=species:S:1:pos:R:3 pbc="T T T"
Mn 0.000 0.000 1.845
Mn 0.000 1.845 0.000
Mn 1.845 0.000 0.000
P 1.845 1.845 1.845
C 0.000 0.000 0.000
```

Summary:
Volume, Å³/cell: 50
E, eV per atom: -8.9568

# 5
# MnP2CS

A relaxed structure of MnP2CS (GGA-PBEsol, Alexandria via LeMat-Bulk).

extended XYZ file:
```
5
Lattice="3.924 0.000 0.000 0.000 3.924 0.000 0.000 0.000 4.098" Properties=species:S:1:pos:R:3 pbc="T T T"
Mn 0.000 0.000 0.000
P 0.000 1.962 2.049
P 1.962 0.000 2.049
C 1.962 1.962 2.049
S 1.962 1.962 0.000
```

Summary:
Volume, Å³/cell: 63
Energy relative to the elements, uncorrected, eV per formula unit: 5.0
E, eV per atom: -6.0673

# 6
# ScMnPC2

A relaxed structure of ScMnPC2 (GGA-PBEsol, Alexandria via LeMat-Bulk).

extended XYZ file:
```
5
Lattice="3.754 0.000 0.000 0.000 3.754 0.000 0.000 0.000 4.184" Properties=species:S:1:pos:R:3 pbc="T T T"
Sc 0.000 0.000 0.000
Mn 1.877 1.877 0.000
P 1.877 1.877 2.092
C 0.000 1.877 2.092
C 1.877 0.000 2.092
```

Summary:
Volume, Å³/cell: 59
E, eV per atom: -7.0424

# 7
# MnPbC3

A relaxed structure of MnPbC3 (GGA-PBEsol, Alexandria via LeMat-Bulk).

extended XYZ file:
```
5
Lattice="4.364 0.000 0.000 0.000 4.364 0.000 0.000 0.000 4.364" Properties=species:S:1:pos:R:3 pbc="T T T"
Mn 0.000 0.000 0.000
Pb 2.182 2.182 2.182
C 0.000 2.182 2.182
C 2.182 0.000 2.182
C 2.182 2.182 0.000
```

Summary:
Volume, Å³/cell: 83
E, eV per atom: -5.0340

# 8
# Pr12Mn5C15

A relaxed structure of Pr12Mn5C15 (GGA-PBEsol, Alexandria via LeMat-Bulk).

extended XYZ file:
```
32
Lattice="10.704 0.000 0.000 -5.352 9.270 0.000 0.000 0.000 5.292" Properties=species:S:1:pos:R:3 pbc="T T T"
Pr -1.104 1.912 0.000
Pr -3.090 5.352 0.000
Pr -0.451 4.256 2.646
Pr 2.207 0.000 0.000
Pr -1.441 7.533 2.646
Pr 2.262 3.918 0.000
Pr 3.912 1.738 2.646
Pr 1.892 6.751 2.646
Pr 6.180 0.000 0.000
Pr 4.901 5.014 2.646
Pr 4.248 7.359 0.000
Pr 7.244 2.519 2.646
Mn -4.528 7.842 2.646
Mn 0.824 1.428 2.646
Mn 0.000 6.180 0.000
Mn 5.352 3.090 0.000
Mn 9.056 0.000 2.646
C -1.018 1.764 2.646
C -2.963 5.132 2.646
C -3.639 6.302 2.646
C 2.037 0.000 2.646
C -0.502 4.486 0.000
C -1.216 7.462 0.000
C 1.713 2.968 2.646
C 2.389 4.138 2.646
C 4.136 1.808 0.000
C 1.719 6.592 0.000
C 5.926 0.000 2.646
C 7.277 0.000 2.646
C 4.850 4.785 0.000
C 7.071 2.678 0.000
C 4.334 7.506 2.646
```

Summary:
Volume, Å³/cell: 525
E, eV per atom: -8.2090